# Mn3Re4 PBE-GGA relaxed
data_Mn3Re4
_symmetry_space_group_name_H-M 'P 1'
_symmetry_Int_Tables_number 1
_symmetry_space_group_name_Hall 'P 1'
_cell_length_a 10.475
_cell_length_b 10.475
_cell_length_c 10.475
_cell_angle_alpha 163.20
_cell_angle_beta 163.20
_cell_angle_gamma 23.84
loop_
_atom_site_label
_atom_site_fract_x
_atom_site_fract_y
_atom_site_fract_z
Mn1 0.000 0.000 0.000
Mn2 0.281 0.281 0.000
Mn3 0.719 0.719 0.000
Re1 0.149 0.149 0.000
Re2 0.429 0.429 0.000
Re3 0.571 0.571 0.000
Re4 0.851 0.851 0.000
# Total energy ... -10.9368 eV/atom
# Symmetry ... I4/mmm, No. 139
# E above lowest polymorph ... 0.133 eV/atom
# Total magnetization ... 6.49 Bohr magnetons per cell

***

# Mn6Re PBE-GGA relaxed
data_Mn6Re
_symmetry_space_group_name_H-M 'P 1'
_symmetry_Int_Tables_number 1
_symmetry_space_group_name_Hall 'P 1'
_cell_length_a 4.569
_cell_length_b 7.496
_cell_length_c 9.577
_cell_angle_alpha 90.00
_cell_angle_beta 90.00
_cell_angle_gamma 90.00
loop_
_atom_site_label
_atom_site_fract_x
_atom_site_fract_y
_atom_site_fract_z
Mn1 0.750 0.590 0.021
Mn2 0.250 0.410 0.979
Mn3 0.750 0.090 0.479
Mn4 0.250 0.910 0.521
Mn5 0.012 0.424 0.193
Mn6 0.512 0.576 0.807
Mn7 0.488 0.924 0.307
Mn8 0.988 0.076 0.693
Mn9 0.988 0.576 0.807
Mn10 0.488 0.424 0.193
Mn11 0.512 0.076 0.693
Mn12 0.012 0.924 0.307
Mn13 0.250 0.130 0.152
Mn14 0.750 0.870 0.848
Mn15 0.250 0.630 0.348
Mn16 0.750 0.370 0.652
Mn17 0.250 0.812 0.750
Mn18 0.750 0.188 0.250
Mn19 0.250 0.312 0.750
Mn20 0.750 0.688 0.250
Mn21 0.250 0.550 0.573
Mn22 0.750 0.450 0.427
Mn23 0.250 0.050 0.927
Mn24 0.750 0.950 0.073
Re1 0.750 0.250 0.934
Re2 0.250 0.750 0.066
Re3 0.750 0.750 0.566
Re4 0.250 0.250 0.434
# Total energy ... -9.5142 eV/atom
# Symmetry ... Pnma, No. 62
# Total magnetization ... 7.51 Bohr magnetons per cell

***

> Among the records above, which one has the highest total energy?

Mn6Re

***

> Among the records above, which one has the lowest total energy?

Mn3Re4